Na2CoP2O7 after structural relaxation, computed with PBEsol.

Values from the calculation:
formation energy from raw total energies	-23.651	eV/f.u.
energy	-6.876	eV per atom
total magnetization	12.00	Bohr magnetons per cell
symmetry	P4_2/mnm
crystal system	tetragonal

Structure (CIF):
```
data_Na2CoP2O7
_chemical_formula_sum 'Na8 Co4 P8 O28'
_space_group_name_H-M_alt 'P 1'
_space_group_IT_number 1
_space_group_name_Hall 'P 1'
_cell_length_a 7.7167
_cell_length_b 7.7167
_cell_length_c 10.2847
_cell_angle_alpha 90.00
_cell_angle_beta 90.00
_cell_angle_gamma 90.00
loop_
_atom_site_label
_atom_site_fract_x
_atom_site_fract_y
_atom_site_fract_z
Co1 0.5000 0.0000 0.2500
P1 0.1391 0.1391 0.2903
Na1 0.3058 0.3058 0.0000
Na2 0.6942 0.6942 0.0000
O1 0.4190 0.8093 0.8554
Co2 0.5000 0.0000 0.7500
Na3 0.8058 0.1942 0.5000
O2 0.3632 0.6368 0.3564
O3 0.8093 0.4190 0.8554
O4 0.0000 0.0000 0.3480
O5 0.6907 0.9190 0.3554
Na4 0.1445 0.8555 0.0000
O6 0.8632 0.8632 0.8564
Na5 0.8555 0.1445 0.0000
O7 0.0810 0.3093 0.3554
Na6 0.6445 0.6445 0.5000
O8 0.0000 0.0000 0.6520
P2 0.8609 0.8609 0.7097
O9 0.9190 0.6907 0.6446
O10 0.4190 0.8093 0.1446
O11 0.1907 0.5810 0.8554
O12 0.8093 0.4190 0.1446
O13 0.6368 0.3632 0.6436
Co3 0.0000 0.5000 0.2500
Na7 0.1942 0.8058 0.5000
P3 0.6391 0.3609 0.2097
O14 0.5810 0.1907 0.1446
O15 0.9190 0.6907 0.3554
O16 0.5810 0.1907 0.8554
O17 0.5000 0.5000 0.1520
P4 0.3609 0.6391 0.7903
O18 0.3093 0.0810 0.6446
P5 0.1391 0.1391 0.7097
Co4 0.0000 0.5000 0.7500
O19 0.6907 0.9190 0.6446
O20 0.1368 0.1368 0.1436
O21 0.8632 0.8632 0.1436
O22 0.6368 0.3632 0.3564
O23 0.5000 0.5000 0.8480
O24 0.1907 0.5810 0.1446
P6 0.6391 0.3609 0.7903
O25 0.0810 0.3093 0.6446
O26 0.3093 0.0810 0.3554
Na8 0.3555 0.3555 0.5000
O27 0.1368 0.1368 0.8564
O28 0.3632 0.6368 0.6436
P7 0.3609 0.6391 0.2097
P8 0.8609 0.8609 0.2903
```